Pm2GaRuC | PBE | relaxed

The space group is P2_1/m (No. 11) and the conventional cell measures 6.4631, 4.1750 and 8.5829 Å, with angles of 90.00, 110.41 and 90.00 degrees. Symmetry generates all atoms from Pm at (0.2210, 0.2500, 0.4718), Pm at (0.2223, 0.2500, 0.8789), Ga at (0.2920, 0.7500, 0.1970), Ru at (0.4990, 0.7500, 0.7575) and C at (0.1873, 0.7500, 0.6697).

As for the crystal system: monoclinic. The value obtained for the final energy is -6.505 eV per atom. The calculation puts the density of states at the Fermi level at 0.771 states/eV/atom. The formation enthalpy at 0 K is -299 meV per atom.